[1]
SrSiSb2 | GGA-PBE | relaxed

a = 3.5678 Å, b = 3.5678 Å, c = 8.8311 Å
α = 90.00°, β = 90.00°, γ = 90.00°
Closest atoms and distances in Å follow each position.
Sites, in units of the cell vectors:
Sb  0.0000  0.0000  0.9929  4 Sr 3.48, 8 Sb 3.57-3.86
Sb  0.5000  0.5000  0.3238  4 Si 2.80
Si  0.0000  0.0000  0.4620  4 Sb 2.80
Sr  0.5000  0.5000  0.7214  4 Si 3.41, 5 Sb 3.48-3.51, 4 Sr 3.57

Output
The density of states at the Fermi level is 1.61 states/eV/cell. The total magnetization is 0.0 μB/f.u. The raw total energy is -15.5 eV for the cell shown.


[2]
SrSiSb2 | GGA-PBE | relaxed

a = 6.0768 Å, b = 6.0768 Å, c = 6.0768 Å
α = 143.69°, β = 124.05°, γ = 68.54°
Closest atoms and distances in Å follow each position.
Sites, in units of the cell vectors:
Sb  0.5479  0.5479  0.0000  2 Si 2.78
Sb  0.9521  0.9521  0.0000  2 Si 2.78
Sr  0.2500  0.7500  0.5000  4 Si 3.42, 8 Sb 3.50-3.54, 2 Sr 3.79
Si  0.7500  0.2500  0.5000  4 Sb 2.78

Output
The density of states at the Fermi level is 2.63 states/eV/cell. The total magnetization is 0.0 μB/f.u. The raw total energy is -16.1 eV for the cell shown.


[3]
Sr2SiSb | GGA-PBE | relaxed

a = 8.6938 Å, b = 8.6938 Å, c = 7.0520 Å
α = 51.95°, β = 51.95°, γ = 90.00°
Closest atoms and distances in Å follow each position.
Sites, in units of the cell vectors:
Sr  0.8750  0.8598  0.7500  2 Si 3.10, 2 Sb 3.28, 2 Sr 3.47
Sr  0.6098  0.1250  0.2500  2 Si 3.10, 2 Sb 3.28, 2 Sr 3.47
Sr  0.1402  0.6250  0.2500  2 Si 3.10, 2 Sb 3.28, 2 Sr 3.47
Sr  0.3750  0.3902  0.7500  2 Si 3.10, 2 Sb 3.28, 2 Sr 3.47
Sb  0.0000  0.0000  0.0000  4 Sr 3.28, 2 Si 3.46
Sb  0.7500  0.2500  0.5000  4 Sr 3.28, 2 Si 3.46
Si  0.5000  0.5000  0.0000  4 Sr 3.10, 2 Sb 3.46
Si  0.2500  0.7500  0.5000  4 Sr 3.10, 2 Sb 3.46

Output
The density of states at the Fermi level is 7.35 states/eV/cell. The energy above the most stable polymorph in this dataset comes out at 0.266 eV/atom. The total magnetization is 0.0 μB/f.u. The raw total energy is -27.5 eV for the cell shown.


[4]
Sr2SiSb | GGA-PBE | relaxed

a = 5.7890 Å, b = 5.7890 Å, c = 5.7890 Å
α = 127.16°, β = 127.16°, γ = 77.99°
Closest atoms and distances in Å follow each position.
Sites, in units of the cell vectors:
Sb  0.2500  0.7500  0.5000  8 Sr 3.42, 4 Si 3.64
Sr  0.0000  0.0000  0.0000  4 Sb 3.42, 4 Si 3.42, 4 Sr 3.64
Sr  0.5000  0.5000  0.0000  4 Si 3.42, 4 Sb 3.42, 4 Sr 3.64
Si  0.7500  0.2500  0.5000  8 Sr 3.42, 4 Sb 3.64

Output
The density of states at the Fermi level is 2.00 states/eV/cell. The energy above the most stable polymorph in this dataset comes out at 0.007 eV/atom. The total magnetization is 0.0 μB/f.u. The raw total energy is -14.8 eV for the cell shown.